Entry 1:
Here is crystalline YTmU at its relaxed geometry from OQMD. Energies are from PBE.

Calculated values
Offset from the most stable computed form   0 meV/atom
ΔE_f   3.83 eV per formula unit

Geometry as POSCAR:
```
YTmU
1.0
4.679 2.204 0.847
0.368 4.314 2.953
2.196 -0.256 4.752
U Tm Y
1 1 1
direct
0.250 0.250 0.250
0.000 0.000 0.000
0.750 0.750 0.750
```

Entry 2:
Here is crystalline LuHfNiB at its relaxed geometry from OQMD. Energies are from PBE.

Calculated values
Offset from the most stable computed form   729 meV/atom

Geometry as POSCAR:
```
LuHfNiB
1.0
-0.145 -2.471 3.662
1.743 1.524 3.765
-2.642 1.162 3.347
Hf Lu B Ni
1 1 1 1
direct
0.250 0.250 0.250
0.500 0.500 0.500
0.000 0.000 0.000
0.750 0.750 0.750
```

Entry 3:
Here is crystalline Y2CoC at its relaxed geometry from OQMD. Energies are from PBE.

Geometry as POSCAR:
```
Y2CoC
1.0
-4.735 2.351 3.321
-3.549 -3.817 3.437
11.227 2.319 8.524
C Y Co
6 12 6
direct
0.000 0.500 0.500
0.500 0.000 0.000
0.665 0.170 0.496
0.830 0.335 0.004
0.335 0.830 0.504
0.170 0.665 0.996
0.134 0.302 0.903
0.472 0.626 0.898
0.971 0.797 0.404
0.528 0.374 0.102
0.698 0.866 0.597
0.203 0.029 0.096
0.797 0.971 0.904
0.374 0.528 0.602
0.626 0.472 0.398
0.302 0.134 0.403
0.029 0.203 0.596
0.866 0.698 0.097
0.574 0.808 0.250
0.254 0.746 0.250
0.426 0.192 0.750
0.192 0.426 0.250
0.808 0.574 0.750
0.746 0.254 0.750
```

Entry 4:
Here is crystalline La2PrGe4Pd4 at its relaxed geometry from OQMD. Energies are from PBE.

Geometry as POSCAR:
```
La2PrGe4Pd4
1.0
-2.100 2.204 12.748
2.100 -2.204 12.748
2.100 2.204 -12.748
Ge La Pd Pr
4 2 4 1
direct
0.451 0.451 0.000
0.196 0.696 0.500
0.804 0.304 0.500
0.549 0.549 0.000
0.648 0.148 0.500
0.352 0.852 0.500
0.250 0.250 0.000
0.750 0.750 0.000
0.904 0.404 0.500
0.096 0.596 0.500
0.000 0.000 0.000
```

Entry 5:
Here is crystalline SrHoB4 at its relaxed geometry from OQMD. Energies are from PBE.

Calculated values
Offset from the most stable computed form   0 meV/atom

Geometry as POSCAR:
```
SrHoB4
1.0
-1.188 0.946 -2.940
-0.659 -3.031 1.153
-6.759 2.857 3.650
B Ho Sr
4 1 1
direct
0.333 0.667 0.228
0.667 0.333 0.772
0.333 0.667 0.772
0.667 0.333 0.228
0.000 0.000 0.000
0.000 0.000 0.500
```

Entry 6:
Here is crystalline Gd2HoAl3Ge2Au at its relaxed geometry from OQMD. Energies are from PBE.

Geometry as POSCAR:
```
Gd2HoAl3Ge2Au
1.0
-0.636 3.553 2.310
5.589 -1.618 4.028
0.874 3.937 -5.815
Ge Gd Al Au Ho
2 2 3 1 1
direct
0.500 0.663 0.334
0.500 0.334 0.663
0.000 0.585 0.999
0.000 0.999 0.585
0.500 0.763 0.763
0.500 0.000 0.237
0.500 0.237 0.000
0.000 0.005 0.005
0.000 0.415 0.415
```

Entry 7:
Here is crystalline FeSi18Ge13 at its relaxed geometry from OQMD. Energies are from PBE.

Geometry as POSCAR:
```
FeSi18Ge13
1.0
-1.465 -5.329 0.580
3.288 -0.683 2.036
-14.999 7.042 26.589
Si Ge Fe
18 13 1
direct
0.484 0.500 0.693
0.504 0.500 0.565
0.745 0.000 0.565
0.004 0.000 0.252
0.257 0.500 0.869
0.256 0.500 0.124
0.026 0.000 0.751
0.993 0.000 0.001
0.505 0.500 0.063
0.494 0.500 0.436
0.256 0.500 0.374
0.503 0.500 0.312
0.744 0.000 0.062
0.746 0.000 0.809
0.745 0.000 0.311
0.499 0.500 0.806
0.258 0.500 0.628
0.244 0.500 0.252
0.004 0.000 0.373
0.744 0.000 0.436
0.257 0.500 0.501
0.005 0.000 0.124
0.757 0.000 0.937
0.746 0.000 0.691
0.245 0.500 0.001
0.492 0.500 0.189
0.756 0.000 0.189
0.993 0.000 0.501
0.003 0.000 0.871
0.492 0.500 0.935
0.005 0.000 0.626
0.236 0.500 0.750
```

Entry 8:
Here is crystalline TbGdTlFe2 at its relaxed geometry from OQMD. Energies are from PBE.

Geometry as POSCAR:
```
TbGdTlFe2
1.0
-2.206 1.036 -3.085
-2.455 -6.821 -0.534
-4.902 -5.053 1.809
Fe Tl Gd Tb
2 1 1 1
direct
0.500 0.790 0.790
0.500 0.211 0.211
0.500 0.999 0.999
0.000 0.638 0.638
0.000 0.362 0.362
```

Entry 9:
Here is crystalline HoNbNi at its relaxed geometry from OQMD. Energies are from PBE.

Calculated values
Offset from the most stable computed form   0 meV/atom
ΔE_f   0.89 eV per formula unit

Geometry as POSCAR:
```
HoNbNi
1.0
-0.392 -4.116 1.619
1.545 -0.948 4.054
-2.833 -0.819 3.320
Ni Ho Nb
1 1 1
direct
0.000 0.000 0.000
0.250 0.250 0.250
0.750 0.750 0.750
```

Entry 10:
Here is crystalline ZrGaOs at its relaxed geometry from OQMD. Energies are from PBE.

Geometry as POSCAR:
```
ZrGaOs
1.0
3.345 0.899 2.784
-0.826 1.938 3.913
0.442 -2.319 3.765
Ga Os Zr
1 1 1
direct
0.250 0.250 0.250
0.750 0.750 0.750
0.000 0.000 0.000
```

Entry 11:
Here is crystalline BaGePt at its relaxed geometry from OQMD. Energies are from PBE.

Geometry as POSCAR:
```
BaGePt
1.0
0.000 3.476 3.476
3.476 0.000 3.476
3.476 3.476 0.000
Ge Pt Ba
1 1 1
direct
0.000 0.000 0.000
0.750 0.750 0.750
0.250 0.250 0.250
```

Entry 12:
Here is crystalline MgFeSbPt at its relaxed geometry from OQMD. Energies are from PBE.

Calculated values
Offset from the most stable computed form   0 meV/atom

Geometry as POSCAR:
```
MgFeSbPt
1.0
-0.521 2.456 3.780
-4.136 1.382 1.256
-1.996 -1.833 3.640
Sb Fe Mg Pt
1 1 1 1
direct
0.000 0.000 0.000
0.750 0.750 0.750
0.500 0.500 0.500
0.250 0.250 0.250
```

Entry 13:
Here is crystalline Dy2Y3Lu2Ni2Te2 at its relaxed geometry from OQMD. Energies are from PBE.

Calculated values
Offset from the most stable computed form   0 meV/atom

Geometry as POSCAR:
```
Dy2Y3Lu2Ni2Te2
1.0
-5.778 -4.724 -5.577
-2.569 1.480 8.832
1.117 2.074 -9.014
Lu Te Dy Ni Y
2 2 2 2 3
direct
0.912 0.097 0.815
0.281 0.097 0.185
0.641 0.141 0.500
0.241 0.241 0.000
0.527 0.895 0.632
0.263 0.895 0.368
0.668 0.406 0.262
0.145 0.406 0.738
0.599 0.745 0.853
0.978 0.478 0.500
0.892 0.745 0.147
```

Entry 14:
Here is crystalline CsNiWAu at its relaxed geometry from OQMD. Energies are from PBE.

Calculated values
Offset from the most stable computed form   124 meV/atom

Geometry as POSCAR:
```
CsNiWAu
1.0
0.000 3.393 3.393
3.393 0.000 3.393
3.393 3.393 0.000
Ni Cs W Au
1 1 1 1
direct
0.500 0.500 0.500
0.000 0.000 0.000
0.250 0.250 0.250
0.750 0.750 0.750
```

Entry 15:
Here is crystalline Nd3Sn5Pd5 at its relaxed geometry from OQMD. Energies are from PBE.

Geometry as POSCAR:
```
Nd3Sn5Pd5
1.0
8.761 -2.294 0.000
8.761 2.294 0.000
-2.417 0.000 14.185
Sn Nd Pd
10 6 10
direct
0.500 0.500 0.000
0.202 0.202 0.740
0.798 0.798 0.260
0.031 0.031 0.720
0.152 0.152 0.405
0.969 0.969 0.280
0.000 0.000 0.500
0.149 0.149 0.051
0.851 0.851 0.949
0.848 0.848 0.595
0.364 0.364 0.414
0.636 0.636 0.586
0.637 0.637 0.871
0.601 0.601 0.214
0.363 0.363 0.129
0.399 0.399 0.786
0.009 0.009 0.902
0.216 0.216 0.240
0.736 0.736 0.427
0.784 0.784 0.760
0.536 0.536 0.386
0.464 0.464 0.614
0.264 0.264 0.573
0.739 0.739 0.068
0.261 0.261 0.932
0.991 0.991 0.098
```

Entry 16:
Here is crystalline DySnTe3Au at its relaxed geometry from OQMD. Energies are from PBE.

Calculated values
Offset from the most stable computed form   3 meV/atom

Geometry as POSCAR:
```
DySnTe3Au
1.0
-2.181 14.149 -2.376
-3.923 -0.856 -1.496
-4.315 1.127 10.672
Sn Dy Te Au
4 4 12 4
direct
0.723 0.750 0.943
0.223 0.750 0.557
0.777 0.250 0.443
0.277 0.250 0.057
0.008 0.750 0.817
0.508 0.750 0.683
0.992 0.250 0.183
0.492 0.250 0.317
0.847 0.750 0.248
0.110 0.750 0.056
0.610 0.750 0.444
0.874 0.750 0.616
0.126 0.250 0.384
0.626 0.250 0.116
0.890 0.250 0.944
0.347 0.750 0.252
0.390 0.250 0.556
0.153 0.250 0.752
0.374 0.750 0.884
0.653 0.250 0.748
0.508 0.250 0.906
0.992 0.750 0.406
0.008 0.250 0.594
0.492 0.750 0.094
```

Entry 17:
Here is crystalline GdLu3S6 at its relaxed geometry from OQMD. Energies are from PBE.

Geometry as POSCAR:
```
GdLu3S6
1.0
-2.875 1.557 -10.367
2.901 -10.643 1.390
-3.678 -0.887 0.887
Lu S Gd
6 12 2
direct
0.937 0.333 0.250
0.063 0.667 0.750
0.819 0.998 0.750
0.661 0.585 0.250
0.181 0.002 0.250
0.339 0.415 0.750
0.695 0.749 0.750
0.239 0.774 0.250
0.761 0.226 0.750
0.978 0.113 0.250
0.615 0.964 0.250
0.105 0.440 0.750
0.385 0.036 0.750
0.305 0.251 0.250
0.022 0.887 0.750
0.582 0.405 0.750
0.895 0.560 0.250
0.418 0.595 0.250
0.453 0.806 0.750
0.547 0.194 0.250
```

Entry 18:
Here is crystalline NdNpSb at its relaxed geometry from OQMD. Energies are from PBE.

Geometry as POSCAR:
```
NdNpSb
1.0
4.069 -1.890 2.266
2.728 2.885 3.081
-0.053 -0.861 4.952
Nd Sb Np
1 1 1
direct
0.000 0.000 0.000
0.250 0.250 0.250
0.750 0.750 0.750
```

Entry 19:
Here is crystalline Zr2Si7 at its relaxed geometry from OQMD. Energies are from PBE.

Geometry as POSCAR:
```
Zr2Si7
1.0
2.383 -4.369 0.000
2.383 4.369 0.000
-2.000 0.000 13.832
Si Zr
14 4
direct
0.525 0.145 0.765
0.145 0.525 0.765
0.140 0.140 0.283
0.855 0.475 0.235
0.959 0.603 0.579
0.626 0.961 0.073
0.397 0.041 0.421
0.039 0.374 0.927
0.475 0.855 0.235
0.374 0.039 0.927
0.961 0.626 0.073
0.860 0.860 0.717
0.603 0.959 0.579
0.041 0.397 0.421
0.694 0.694 0.901
0.294 0.294 0.596
0.706 0.706 0.404
0.306 0.306 0.099
```

Entry 20:
Here is crystalline Bi2Pt2Cl at its relaxed geometry from OQMD. Energies are from PBE.

Geometry as POSCAR:
```
Bi2Pt2Cl
1.0
-1.984 1.984 7.950
1.984 -1.984 7.950
1.984 1.984 -7.950
Bi Cl Pt
2 1 2
direct
0.373 0.373 0.000
0.627 0.627 0.000
0.000 0.000 0.000
0.750 0.250 0.500
0.250 0.750 0.500
```

| no. | mass density (g cm⁻³) | total energy (eV per cell) |
| --- | --- | --- |
| 1 | 8.1 | -18.4 |
| 2 | 11.5 | -24.1 |
| 3 | 5.3 | -177.6 |
| 4 | 8.0 | -63.8 |
| 5 | 6.3 | -34.2 |
| 6 | 8.1 | -44.1 |
| 7 | 3.7 | -163.5 |
| 8 | 10.0 | -29.0 |
| 9 | 8.5 | -19.3 |
| 10 | 9.4 | -21.5 |
| 11 | 8.0 | -12.8 |
| 12 | 10.0 | -20.8 |
| 13 | 7.7 | -62.7 |
| 14 | 12.2 | -15.5 |
| 15 | 9.1 | -141.4 |
| 16 | 8.0 | -100.9 |
| 17 | 6.5 | -127.4 |
| 18 | 9.3 | -20.2 |
| 19 | 4.4 | -113.2 |
| 20 | 11.2 | -24.0 |